Below is a relaxed PaB2Rh4 crystal, with properties calculated at the PBE level.

relative energy among the computed polymorphs	0.0	meV per atom
total magnetization	0.00	μB per formula unit
formation energy	-607	meV/atom
electronic total energy	-56.51	eV for the cell shown

The structure in POSCAR format:
```
PaB2Rh4
1.0
1.921 -6.385 0.000
1.921 6.385 0.000
0.000 0.000 3.862
Pa B Rh
1 2 4
Cartesian
0.000 0.000 0.000
1.921 0.946 1.931
1.921 -0.946 1.931
1.921 4.242 1.931
1.921 2.101 0.000
1.921 -2.101 0.000
1.921 -4.242 1.931
```